[1]
DFT (PBE-GGA) results for crystalline ScReSiCl2 at its relaxed geometry.

It has space group P4/mmm (No. 123), with a = 4.7402 Å, b = 4.7402 Å, c = 4.8748 Å, α = 90.00°, β = 90.00° and γ = 90.00°. The distinct sites, in fractional coordinates, are Sc at (0.0000, 0.0000, 0.0000), Re at (0.5000, 0.5000, 0.5000), Si at (0.5000, 0.5000, 0.0000) and Cl at (0.0000, 0.5000, 0.5000).

The total energy comes out at -5.136 eV/atom. As for the density of states at the Fermi level: 5.36 states/eV/cell.



[2]
DFT (PBE-GGA) results for crystalline Si2TeAu at its relaxed geometry.

It has space group P2/m (No. 10), with a = 2.8876 Å, b = 3.8017 Å, c = 7.7161 Å, α = 90.00°, β = 90.09° and γ = 90.00°. The distinct sites, in fractional coordinates, are Si at (0.0012, 0.0000, 0.2775), Te at (0.0000, 0.5000, 0.0000) and Au at (0.0000, 0.5000, 0.5000).

The total energy comes out at -4.020 eV/atom. As for the density of states at the Fermi level: 1.75 states/eV/cell.



[3]
DFT (PBE-GGA) results for crystalline Er3Th3Tc2 at its relaxed geometry.

It has space group Cmcm (No. 63), with a = 3.5899 Å, b = 13.7071 Å, c = 18.6832 Å, α = 90.00°, β = 90.00° and γ = 90.00°. The distinct sites, in fractional coordinates, are Er at (0.0000, 0.0682, 0.0823), Er at (0.0000, 0.3032, 0.2500), Th at (0.0000, 0.3238, 0.0620), Th at (0.0000, 0.4398, 0.7500) and Tc at (0.0000, 0.2961, 0.6510).

The total energy comes out at -7.052 eV/atom. For the formation energy, the calculation gives 0.0334 eV per atom. As for the density of states at the Fermi level: 30.20 states/eV/cell.